# Y3Sc2Cu3 | Alexandria | PBE | optimized geometry
# final energy	-45.76	eV for the cell shown
data_Y3Sc2Cu3
_chemical_formula_sum 'Y3 Sc2 Cu3'
_cell_length_a 3.4461
_cell_length_b 4.9869
_cell_length_c 10.6730
_cell_angle_alpha 103.51
_cell_angle_beta 99.29
_cell_angle_gamma 90.00
_symmetry_space_group_name_H-M 'P 1'
_symmetry_Int_Tables_number 1
loop_
_symmetry_equiv_pos_as_xyz
'x,y,z'
loop_
_atom_site_label
_atom_site_fract_x
_atom_site_fract_y
_atom_site_fract_z
Cu1 0.8775 0.8775 0.7550
Cu2 0.1225 0.1225 0.2450
Cu3 0.0000 0.5000 0.0000
Y1 0.5000 0.0000 0.0000
Y2 0.6206 0.6206 0.2411
Y3 0.3794 0.3794 0.7589
Sc1 0.2706 0.7706 0.5412
Sc2 0.7294 0.2294 0.4588

=====

# MgMoAs3 | Alexandria | PBE | optimized geometry
# relative energy among the computed polymorphs	0	meV per atom
# final energy	-24.77	eV for the cell shown
data_MgMoAs3
_chemical_formula_sum 'Mg1 Mo1 As3'
_cell_length_a 4.9187
_cell_length_b 4.9187
_cell_length_c 4.9187
_cell_angle_alpha 90.00
_cell_angle_beta 90.00
_cell_angle_gamma 90.00
_symmetry_space_group_name_H-M 'P 1'
_symmetry_Int_Tables_number 1
loop_
_symmetry_equiv_pos_as_xyz
'x,y,z'
loop_
_atom_site_label
_atom_site_fract_x
_atom_site_fract_y
_atom_site_fract_z
As1 0.0000 0.5000 0.0000
As2 0.0000 0.0000 0.5000
As3 0.5000 0.0000 0.0000
Mo1 0.0000 0.0000 0.0000
Mg1 0.5000 0.5000 0.5000

=====

# K3CdTc2O9 | Alexandria | PBE | optimized geometry
# final energy	-91.12	eV for the cell shown
# E_form (uncorrected)	-1.437	eV per atom
data_K3CdTc2O9
_chemical_formula_sum 'K3 Cd1 Tc2 O9'
_cell_length_a 5.7435
_cell_length_b 5.7435
_cell_length_c 7.2207
_cell_angle_alpha 90.00
_cell_angle_beta 90.00
_cell_angle_gamma 120.00
_symmetry_space_group_name_H-M 'P 1'
_symmetry_Int_Tables_number 1
loop_
_symmetry_equiv_pos_as_xyz
'x,y,z'
loop_
_atom_site_label
_atom_site_fract_x
_atom_site_fract_y
_atom_site_fract_z
Cd1 0.0000 0.0000 0.5000
Tc1 0.6667 0.3333 0.8359
Tc2 0.3333 0.6667 0.1641
O1 0.3574 0.1787 0.6971
O2 0.8213 0.6426 0.6971
O3 0.1787 0.3574 0.3029
O4 0.5000 0.0000 0.0000
O5 0.0000 0.5000 0.0000
O6 0.8213 0.1787 0.6971
O7 0.6426 0.8213 0.3029
O8 0.5000 0.5000 0.0000
O9 0.1787 0.8213 0.3029
K1 0.3333 0.6667 0.6726
K2 0.0000 0.0000 0.0000
K3 0.6667 0.3333 0.3274